Entry from Alexandria: a relaxed Nd2Ga5Ru2Rh crystal (PBE).

## Properties
SG ... P4/mbm (127)
Crystal system ... tetragonal
D(E_F) ... 6.66 states/eV/f.u.
Formation energy from the elements ... -0.424 eV/atom
Total DFT energy (no corrections) ... -5.4812 eV per atom

abc: 10.6895 10.6895 3.1806
angles: 90.00 90.00 90.00
Element x y z (fractional)
Nd1 0.1808 0.3192 0.0000
Nd2 0.3192 0.8192 0.0000
Nd3 0.6808 0.1808 0.0000
Nd4 0.8192 0.6808 0.0000
Ga1 0.0000 0.5000 0.5000
Ga2 0.0538 0.8096 0.5000
Ga3 0.1904 0.0538 0.5000
Ga4 0.3096 0.5538 0.5000
Ga5 0.4462 0.3096 0.5000
Ga6 0.5000 0.0000 0.5000
Ga7 0.5538 0.6904 0.5000
Ga8 0.6904 0.4462 0.5000
Ga9 0.8096 0.9462 0.5000
Ga10 0.9462 0.1904 0.5000
Ru1 0.1286 0.6286 0.0000
Ru2 0.3714 0.1286 0.0000
Ru3 0.6286 0.8714 0.0000
Ru4 0.8714 0.3714 0.0000
Rh1 0.0000 0.0000 0.0000
Rh2 0.5000 0.5000 0.0000


Entry from Alexandria: a relaxed CaTb5Pr4 crystal (PBE).

## Properties
SG ... C2/m (12)
Crystal system ... monoclinic
D(E_F) ... 13.08 states/eV/f.u.
Formation energy from the elements ... 0.036 eV/atom
Total DFT energy (no corrections) ... -4.3913 eV per atom

abc: 8.1479 8.1479 12.1346
angles: 101.61 101.61 25.85
Element x y z (fractional)
Ca1 0.0000 0.0000 0.0000
Tb1 0.1019 0.1019 0.3023
Tb2 0.2921 0.2921 0.8972
Tb3 0.5000 0.5000 0.5000
Tb4 0.7079 0.7079 0.1028
Tb5 0.8981 0.8981 0.6977
Pr1 0.2000 0.2000 0.5999
Pr2 0.4004 0.4004 0.2060
Pr3 0.5996 0.5996 0.7940
Pr4 0.8000 0.8000 0.4001


Entry from Alexandria: a relaxed RbCd2In crystal (PBE).

## Properties
SG ... R3m (160)
Crystal system ... trigonal
D(E_F) ... 1.56 states/eV/f.u.
Formation energy from the elements ... -0.057 eV/atom
Total DFT energy (no corrections) ... -1.4408 eV per atom

abc: 7.2414 7.2414 7.2414
angles: 40.59 40.59 40.59
Element x y z (fractional)
Rb1 0.0000 0.0000 0.0000
Cd1 0.1963 0.1963 0.1963
Cd2 0.5122 0.5122 0.5122
In1 0.7992 0.7992 0.7992


Entry from Alexandria: a relaxed MgZn2Pb crystal (PBE).

## Properties
SG ... Pm (6)
Crystal system ... monoclinic
ΔE to the lowest computed polymorph ... 0.0 kJ per mole of atoms
D(E_F) ... 1.21 states/eV/f.u.
Formation energy from the elements ... 0.041 eV/atom
Total DFT energy (no corrections) ... -1.9214 eV per atom

abc: 3.4858 4.4587 5.8005
angles: 90.00 107.38 90.00
Element x y z (fractional)
Mg1 0.0000 0.0000 0.0000
Zn1 0.2832 0.0000 0.5717
Zn2 0.4117 0.5000 0.8230
Pb1 0.6780 0.5000 0.3524


Copy entry 3 word for word.
Entry from Alexandria: a relaxed RbCd2In crystal (PBE).

## Properties
SG ... R3m (160)
Crystal system ... trigonal
D(E_F) ... 1.56 states/eV/f.u.
Formation energy from the elements ... -0.057 eV/atom
Total DFT energy (no corrections) ... -1.4408 eV per atom

abc: 7.2414 7.2414 7.2414
angles: 40.59 40.59 40.59
Element x y z (fractional)
Rb1 0.0000 0.0000 0.0000
Cd1 0.1963 0.1963 0.1963
Cd2 0.5122 0.5122 0.5122
In1 0.7992 0.7992 0.7992